Sb2TeAu | the Alexandria database | PBE-GGA | optimized geometry; crystal system = monoclinic; magnetic moment = 0.000 μB/atom; DOS(E_F) = 3.08 states/eV per cell; formation energy from raw total energies = 0.073 eV/atom
1.0
3.145 0.000 0.000
0.000 5.956 0.000
-0.008 0.000 5.943
Sb Te Au
2 1 1
Direct
0.000 0.000 0.000 Sb
0.001 0.500 0.001 Sb
0.001 0.000 0.500 Te
0.001 0.500 0.501 Au

Bi4H2Pb | the Alexandria database | PBE-GGA | optimized geometry; crystal system = monoclinic; magnetic moment = 0.000 μB/atom; DOS(E_F) = 3.56 states/eV per cell
1.0
6.869 0.000 0.000
0.000 3.412 0.000
-2.164 0.000 8.451
Bi H Pb
4 2 1
Direct
0.077 0.000 0.298 Bi
0.354 0.500 0.831 Bi
0.646 0.500 0.169 Bi
0.923 0.000 0.702 Bi
0.165 0.000 0.115 H
0.835 0.000 0.885 H
0.500 0.500 0.500 Pb

| no. | final energy (eV per atom) |
| --- | --- |
| 1 | -3.59 |
| 2 | -3.44 |